Record 1
Entry from the Alexandria database: a relaxed structure of NdYCoI (PBE).

total energy: -5.529 eV per atom
formation energy without anion corrections: -0.557 eV/atom
magnetization: 0.0 μB per formula unit

CIF file:
```
data_NdYCoI
_space_group_name_H-M_alt 'R 3 m'
_space_group_IT_number 160
_space_group_name_Hall 'R 3 -2"'
_cell_length_a 4.0067
_cell_length_b 4.0067
_cell_length_c 24.0771
_cell_angle_alpha 90.00
_cell_angle_beta 90.00
_cell_angle_gamma 120.00
loop_
_atom_site_label
_atom_site_type_symbol
_atom_site_fract_x
_atom_site_fract_y
_atom_site_fract_z
_atom_site_occupancy
Nd1 Nd 0.0000 0.0000 0.0000 1
Y1 Y 0.0000 0.0000 0.7871 1
Co1 Co 0.0000 0.0000 0.3944 1
I1 I 0.0000 0.0000 0.2224 1
```


Record 2
Entry from the Alexandria database: a relaxed structure of CoNi2I6 (PBE).

total energy: -3.123 eV per atom
formation energy without anion corrections: -0.015 eV/atom
magnetization: 6.8 μB per formula unit

CIF file:
```
data_CoNi2I6
_space_group_name_H-M_alt 'C 1 2/c 1'
_space_group_IT_number 15
_cell_length_a 14.709
_cell_length_b 14.843
_cell_length_c 7.164
_cell_angle_alpha 90.00
_cell_angle_beta 115.34
_cell_angle_gamma 90.00
loop_
_space_group_symop_operation_xyz
'x,y,z'
'-x,-y,-z'
'-x,y,-z+1/2'
'x,-y,z+1/2'
'x+1/2,y+1/2,z'
'-x+1/2,-y+1/2,-z'
'-x+1/2,y+1/2,-z+1/2'
'x+1/2,-y+1/2,z+1/2'
loop_
_atom_site_label
_atom_site_type_symbol
_atom_site_fract_x
_atom_site_fract_y
_atom_site_fract_z
_atom_site_occupancy
Co1 Co 0.000 0.204 0.250 1
Ni1 Ni 0.215 0.424 0.367 1
I1 I 0.101 0.105 0.562 1
I2 I 0.113 0.295 0.135 1
I3 I 0.172 0.429 0.671 1
```


Record 3
Entry from the Alexandria database: a relaxed structure of CoNiI2 (PBE).

total energy: -3.109 eV per atom
formation energy without anion corrections: 0.888 eV/atom
energy above the lowest structure with this stoichiometry: 620.1 meV per atom
magnetization: 2.3 μB per formula unit

CIF file:
```
data_CoNiI2
_space_group_name_H-M_alt 'F m -3 m'
_space_group_IT_number 225
_space_group_name_Hall '-F 4 2 3'
_cell_length_a 6.897
_cell_length_b 6.897
_cell_length_c 6.897
_cell_angle_alpha 90.00
_cell_angle_beta 90.00
_cell_angle_gamma 90.00
loop_
_atom_site_label
_atom_site_type_symbol
_atom_site_fract_x
_atom_site_fract_y
_atom_site_fract_z
_atom_site_occupancy
Co1 Co 0.000 0.000 0.000 1
Ni1 Ni 0.000 0.000 0.500 1
I1 I 0.250 0.250 0.250 1
```


Record 4
Entry from the Alexandria database: a relaxed structure of CoNi2I (PBE).

total energy: -4.195 eV per atom
formation energy without anion corrections: 0.860 eV/atom
energy above the lowest structure with this stoichiometry: 133.3 meV per atom
magnetization: 3.3 μB per formula unit

CIF file:
```
data_CoNi2I
_space_group_name_H-M_alt 'I -4 2 d'
_space_group_IT_number 122
_space_group_name_Hall 'I -4 2bw'
_cell_length_a 5.892
_cell_length_b 5.892
_cell_length_c 9.338
_cell_angle_alpha 90.00
_cell_angle_beta 90.00
_cell_angle_gamma 90.00
loop_
_atom_site_label
_atom_site_type_symbol
_atom_site_fract_x
_atom_site_fract_y
_atom_site_fract_z
_atom_site_occupancy
Co1 Co 0.000 0.000 0.000 1
Ni1 Ni 0.210 0.250 0.125 1
I1 I 0.000 0.000 0.500 1
```


Record 5
Entry from the Alexandria database: a relaxed structure of CoNiI4 (PBE).

total energy: -3.140 eV per atom
formation energy without anion corrections: 0.042 eV/atom
magnetization: 2.2 μB per formula unit

CIF file:
```
data_CoNiI4
_space_group_name_H-M_alt 'P 42/m m c'
_space_group_IT_number 131
_space_group_name_Hall '-P 4c 2'
_cell_length_a 7.476
_cell_length_b 7.476
_cell_length_c 9.679
_cell_angle_alpha 90.00
_cell_angle_beta 90.00
_cell_angle_gamma 90.00
loop_
_atom_site_label
_atom_site_type_symbol
_atom_site_fract_x
_atom_site_fract_y
_atom_site_fract_z
_atom_site_occupancy
Co1 Co 0.000 0.000 0.000 1
Ni1 Ni 0.000 0.500 0.000 1
I1 I 0.229 0.253 0.000 1
```


Record 6
Entry from the Alexandria database: a relaxed structure of CoNi2I (PBE).

total energy: -4.328 eV per atom
formation energy without anion corrections: 0.727 eV/atom
energy above the lowest structure with this stoichiometry: 0.0 meV per atom
magnetization: 1.8 μB per formula unit

CIF file:
```
data_CoNi2I
_space_group_name_H-M_alt 'F m -3 m'
_space_group_IT_number 225
_space_group_name_Hall '-F 4 2 3'
_cell_length_a 6.091
_cell_length_b 6.091
_cell_length_c 6.091
_cell_angle_alpha 90.00
_cell_angle_beta 90.00
_cell_angle_gamma 90.00
loop_
_atom_site_label
_atom_site_type_symbol
_atom_site_fract_x
_atom_site_fract_y
_atom_site_fract_z
_atom_site_occupancy
Co1 Co 0.000 0.000 0.000 1
Ni1 Ni 0.250 0.250 0.250 1
I1 I 0.000 0.000 0.500 1
```


Record 7
Entry from the Alexandria database: a relaxed structure of Co3NiI (PBE).

total energy: -4.614 eV per atom
formation energy without anion corrections: 1.116 eV/atom
energy above the lowest structure with this stoichiometry: 0.0 meV per atom
magnetization: 6.0 μB per formula unit

CIF file:
```
data_Co3NiI
_space_group_name_H-M_alt 'P m -3 m'
_space_group_IT_number 221
_space_group_name_Hall '-P 4 2 3'
_cell_length_a 4.398
_cell_length_b 4.398
_cell_length_c 4.398
_cell_angle_alpha 90.00
_cell_angle_beta 90.00
_cell_angle_gamma 90.00
loop_
_atom_site_label
_atom_site_type_symbol
_atom_site_fract_x
_atom_site_fract_y
_atom_site_fract_z
_atom_site_occupancy
Co1 Co 0.000 0.000 0.500 1
Ni1 Ni 0.000 0.000 0.000 1
I1 I 0.500 0.500 0.500 1
```


Record 8
Entry from the Alexandria database: a relaxed structure of CoNiI2 (PBE).

total energy: -3.729 eV per atom
formation energy without anion corrections: 0.268 eV/atom
energy above the lowest structure with this stoichiometry: 0.0 meV per atom
magnetization: 2.6 μB per formula unit

CIF file:
```
data_CoNiI2
_space_group_name_H-M_alt 'I -4 2 d'
_space_group_IT_number 122
_space_group_name_Hall 'I -4 2bw'
_cell_length_a 5.864
_cell_length_b 5.864
_cell_length_c 11.765
_cell_angle_alpha 90.00
_cell_angle_beta 90.00
_cell_angle_gamma 90.00
loop_
_atom_site_label
_atom_site_type_symbol
_atom_site_fract_x
_atom_site_fract_y
_atom_site_fract_z
_atom_site_occupancy
Co1 Co 0.000 0.000 0.000 1
Ni1 Ni 0.000 0.000 0.500 1
I1 I 0.246 0.250 0.625 1
```